The following is a DFT calculation (meta-GGA SCAN) of a crystal of CaCd3I relaxed with PBEsol.

Properties
E_tot: -27.001 eV per atom

Geometry as CIF:
```
data_CaCd3I
_cell_length_a 5.743
_cell_length_b 5.743
_cell_length_c 5.743
_cell_angle_alpha 90.00
_cell_angle_beta 90.00
_cell_angle_gamma 90.00
_symmetry_space_group_name_H-M 'P m -3 m'
_symmetry_Int_Tables_number 221
_symmetry_space_group_name_Hall '-P 4 2 3'
loop_
_atom_site_label
_atom_site_type_symbol
_atom_site_fract_x
_atom_site_fract_y
_atom_site_fract_z
Ca1 Ca 0.000 0.000 0.000
Cd1 Cd 0.000 0.500 0.500
I1 I 0.500 0.500 0.500
```

=====

The following is a DFT calculation (meta-GGA SCAN) of a crystal of Ca2CdI2 relaxed with PBEsol.

Properties
E_tot: -25.244 eV per atom

Geometry as CIF:
```
data_Ca2CdI2
_cell_length_a 5.438
_cell_length_b 5.438
_cell_length_c 12.770
_cell_angle_alpha 90.00
_cell_angle_beta 90.00
_cell_angle_gamma 90.00
_symmetry_space_group_name_H-M 'I 4/m m m'
_symmetry_Int_Tables_number 139
_symmetry_space_group_name_Hall '-I 4 2'
loop_
_atom_site_label
_atom_site_type_symbol
_atom_site_fract_x
_atom_site_fract_y
_atom_site_fract_z
Ca1 Ca 0.000 0.500 0.250
Cd1 Cd 0.000 0.000 0.000
I1 I 0.000 0.000 0.360
```

=====

The following is a DFT calculation (meta-GGA SCAN) of a crystal of CaCd3I relaxed with PBEsol.

Properties
E_tot: -27.269 eV per atom

Geometry as CIF:
```
data_CaCd3I
_cell_length_a 5.986
_cell_length_b 5.986
_cell_length_c 5.986
_cell_angle_alpha 90.00
_cell_angle_beta 90.00
_cell_angle_gamma 90.00
_symmetry_space_group_name_H-M 'P m -3 m'
_symmetry_Int_Tables_number 221
_symmetry_space_group_name_Hall '-P 4 2 3'
loop_
_atom_site_label
_atom_site_type_symbol
_atom_site_fract_x
_atom_site_fract_y
_atom_site_fract_z
Ca1 Ca 0.000 0.000 0.000
Cd1 Cd 0.000 0.000 0.500
I1 I 0.500 0.500 0.500
```

=====

The following is a DFT calculation (meta-GGA SCAN) of a crystal of CaCd2I2 relaxed with PBEsol.

Properties
E_tot: -29.537 eV per atom

Geometry as CIF:
```
data_CaCd2I2
_cell_length_a 3.965
_cell_length_b 3.965
_cell_length_c 20.198
_cell_angle_alpha 90.00
_cell_angle_beta 90.00
_cell_angle_gamma 90.00
_symmetry_space_group_name_H-M 'I 4/m m m'
_symmetry_Int_Tables_number 139
_symmetry_space_group_name_Hall '-I 4 2'
loop_
_atom_site_label
_atom_site_type_symbol
_atom_site_fract_x
_atom_site_fract_y
_atom_site_fract_z
Ca1 Ca 0.000 0.000 0.000
Cd1 Cd 0.000 0.500 0.250
I1 I 0.000 0.000 0.410
```

=====

The following is a DFT calculation (meta-GGA SCAN) of a crystal of Ca2CdI2 relaxed with PBEsol.

Properties
E_tot: -25.402 eV per atom

Geometry as CIF:
```
data_Ca2CdI2
_cell_length_a 8.330
_cell_length_b 8.330
_cell_length_c 4.697
_cell_angle_alpha 90.00
_cell_angle_beta 90.00
_cell_angle_gamma 90.00
_symmetry_space_group_name_H-M 'P 4/m b m'
_symmetry_Int_Tables_number 127
_symmetry_space_group_name_Hall '-P 4 2ab'
loop_
_atom_site_label
_atom_site_type_symbol
_atom_site_fract_x
_atom_site_fract_y
_atom_site_fract_z
Ca1 Ca 0.161 0.339 0.000
Cd1 Cd 0.000 0.000 0.000
I1 I 0.154 0.654 0.500
```

=====

The following is a DFT calculation (meta-GGA SCAN) of a crystal of SrCaCdI2 relaxed with PBEsol.

Properties
E_tot: -27.691 eV per atom

Geometry as CIF:
```
data_SrCaCdI2
_cell_length_a 5.843
_cell_length_b 5.843
_cell_length_c 7.529
_cell_angle_alpha 90.00
_cell_angle_beta 90.00
_cell_angle_gamma 90.00
_symmetry_space_group_name_H-M 'P 4/m m m'
_symmetry_Int_Tables_number 123
_symmetry_space_group_name_Hall '-P 4 2'
loop_
_atom_site_label
_atom_site_type_symbol
_atom_site_fract_x
_atom_site_fract_y
_atom_site_fract_z
Sr1 Sr 0.000 0.000 0.000
Ca1 Ca 0.000 0.000 0.500
Cd1 Cd 0.500 0.500 0.000
I1 I 0.000 0.500 0.500
```

=====

The following is a DFT calculation (meta-GGA SCAN) of a crystal of Ca2CdIn relaxed with PBEsol.

Properties
Energy of formation: -525 meV/atom

Geometry as CIF:
```
data_Ca2CdIn
_cell_length_a 3.662
_cell_length_b 3.662
_cell_length_c 8.005
_cell_angle_alpha 90.00
_cell_angle_beta 90.00
_cell_angle_gamma 90.00
_symmetry_space_group_name_H-M 'P 4/m m m'
_symmetry_Int_Tables_number 123
_symmetry_space_group_name_Hall '-P 4 2'
loop_
_atom_site_label
_atom_site_type_symbol
_atom_site_fract_x
_atom_site_fract_y
_atom_site_fract_z
Ca1 Ca 0.000 0.000 0.245
Cd1 Cd 0.500 0.500 0.000
In1 In 0.500 0.500 0.500
```

=====

The following is a DFT calculation (meta-GGA SCAN) of a crystal of CaCd2In relaxed with PBEsol.

Properties
Energy of formation: -86 meV/atom

Geometry as CIF:
```
data_CaCd2In
_cell_length_a 3.5881
_cell_length_b 3.5881
_cell_length_c 27.8726
_cell_angle_alpha 90.00
_cell_angle_beta 90.00
_cell_angle_gamma 120.00
_symmetry_space_group_name_H-M 'R 3 m'
_symmetry_Int_Tables_number 160
_symmetry_space_group_name_Hall 'R 3 -2"'
loop_
_atom_site_label
_atom_site_type_symbol
_atom_site_fract_x
_atom_site_fract_y
_atom_site_fract_z
Ca1 Ca 0.0000 0.0000 0.0000
Cd1 Cd 0.0000 0.0000 0.4973
Cd2 Cd 0.0000 0.0000 0.7547
In1 In 0.0000 0.0000 0.2415
```